! SrAsPtO6, relaxed, DFT PBE-GGA; values from VASP
! ΔE_f (raw) = -1.405 eV/atom
! Total DFT energy (no corrections) = -54.763 eV/f.u.
! Symmetry = P312
&SYSTEM
  ibrav = 0, nat = 9, ntyp = 4
/
ATOMIC_SPECIES
Sr 87.62 Sr.upf
As 74.92 As.upf
Pt 195.08 Pt.upf
O 16.00 O.upf
CELL_PARAMETERS angstrom
5.144 0.000 0.000
-2.572 4.455 0.000
0.000 0.000 5.445
ATOMIC_POSITIONS crystal
Sr 0.000 0.000 0.000
As 0.333 0.667 0.500
Pt 0.667 0.333 0.500
O 0.019 0.383 0.696
O 0.019 0.636 0.304
O 0.364 0.383 0.304
O 0.364 0.981 0.696
O 0.617 0.636 0.696
O 0.617 0.981 0.304